1.
First-principles (PBE) data for an optimized crystal structure of In5SnBi4, as listed in Alexandria.

abc: 3.5068 3.5068 23.8928
angles: 90.00 90.00 90.00
Last column: nearest neighbours and their distance in Å.
Fractional positions:
In: 0.5000 0.5000 0.0930  4 Sn 3.33, 4 Bi 3.44, 4 In 3.51
In: 0.5000 0.5000 0.2957  8 Bi 3.48-3.49, 4 In 3.51
In: 0.5000 0.5000 0.5000  8 Bi 3.48, 4 In 3.51
In: 0.5000 0.5000 0.7043  8 Bi 3.48-3.49, 4 In 3.51
In: 0.5000 0.5000 0.9070  4 Sn 3.33, 4 Bi 3.44, 4 In 3.51
Sn: 0.0000 0.0000 0.0000  8 In 3.33, 4 Sn 3.51
Bi: 0.0000 0.0000 0.1930  8 In 3.44-3.49, 4 Bi 3.51
Bi: 0.0000 0.0000 0.3979  8 In 3.48, 4 Bi 3.51
Bi: 0.0000 0.0000 0.6021  8 In 3.48, 4 Bi 3.51
Bi: 0.0000 0.0000 0.8070  8 In 3.44-3.49, 4 Bi 3.51

Properties
**SG**: P4/mmm, No. 123
**Formation enthalpy at 0 K**: 0.038 eV/atom

2.
First-principles (PBE) data for an optimized crystal structure of CaZr2Cl, as listed in Alexandria.

abc: 6.3363 3.2795 4.9267
angles: 91.07 90.00 90.00
Last column: nearest neighbours and their distance in Å.
Fractional positions:
Ca: 0.5000 0.2500 0.2500  4 Cl 2.93-2.98, 2 Ca 3.28
Zr: 0.0000 0.9542 0.0176  3 Zr 2.67-2.97
Zr: 0.0000 0.5458 0.4824  3 Zr 2.67-2.97
Cl: 0.5000 0.7500 0.7500  4 Ca 2.93-2.98, 2 Cl 3.28

Properties
**SG**: P2/m, No. 10
**Formation energy from raw total energies**: -0.18 eV per atom
**Offset from the most stable computed form**: 6.92 kcal/mol of atoms

3.
First-principles (PBE) data for an optimized crystal structure of Rb2Mg7Tl12, as listed in Alexandria.

abc: 5.0735 12.0663 12.0663
angles: 120.00 90.00 90.00
Last column: nearest neighbours and their distance in Å.
Fractional positions:
Rb: 0.2438 0.3333 0.6667  12 Tl 3.92-4.31, 6 Mg 3.96-4.03
Rb: 0.7562 0.6667 0.3333  12 Tl 3.92-4.31, 6 Mg 3.96-4.03
Mg: 0.5000 0.0000 0.0000  6 Tl 3.00
Mg: 0.2667 0.8971 0.2893  7 Tl 3.04-3.22
Mg: 0.2667 0.3922 0.1029  7 Tl 3.04-3.22
Mg: 0.2667 0.7107 0.6078  7 Tl 3.04-3.22
Mg: 0.7333 0.1029 0.7107  7 Tl 3.04-3.22
Mg: 0.7333 0.6078 0.8971  7 Tl 3.04-3.22
Mg: 0.7333 0.2893 0.3922  7 Tl 3.04-3.22
Tl: 0.2446 0.6211 0.0620  4 Mg 3.04-3.22, 1 Tl 3.26
Tl: 0.2446 0.4409 0.3789  4 Mg 3.04-3.22, 1 Tl 3.26
Tl: 0.2446 0.9380 0.5591  4 Mg 3.04-3.22, 1 Tl 3.26
Tl: 0.7554 0.3789 0.9380  4 Mg 3.04-3.22, 1 Tl 3.26
Tl: 0.7554 0.5591 0.6211  4 Mg 3.04-3.22, 1 Tl 3.26
Tl: 0.7554 0.0620 0.4409  4 Mg 3.04-3.22, 1 Tl 3.26
Tl: 0.2241 0.1312 0.2544  4 Mg 3.00-3.15, 1 Tl 3.26
Tl: 0.2241 0.1231 0.8688  4 Mg 3.00-3.15, 1 Tl 3.26
Tl: 0.2241 0.7456 0.8769  4 Mg 3.00-3.15, 1 Tl 3.26
Tl: 0.7759 0.8688 0.7456  4 Mg 3.00-3.15, 1 Tl 3.26
Tl: 0.7759 0.8769 0.1312  4 Mg 3.00-3.15, 1 Tl 3.26
Tl: 0.7759 0.2544 0.1231  4 Mg 3.00-3.15, 1 Tl 3.26

Properties
**SG**: P-3, No. 147
**Formation enthalpy at 0 K**: 0.007 eV/atom

4.
First-principles (PBE) data for an optimized crystal structure of Hf2MgIn3, as listed in Alexandria.

abc: 3.1366 3.1366 13.4841
angles: 90.00 90.00 90.00
Last column: nearest neighbours and their distance in Å.
Fractional positions:
Hf: 0.5000 0.5000 0.8381  8 In 3.11-3.18, 4 Hf 3.14
Hf: 0.5000 0.5000 0.1619  8 In 3.11-3.18, 4 Hf 3.14
Mg: 0.5000 0.5000 0.5000  4 Mg 3.14, 8 In 3.18
In: 0.0000 0.0000 0.0000  8 Hf 3.11, 4 In 3.14
In: 0.0000 0.0000 0.6695  4 In 3.14, 4 Hf 3.18, 4 Mg 3.18
In: 0.0000 0.0000 0.3305  4 In 3.14, 4 Hf 3.18, 4 Mg 3.18

Properties
**SG**: P4/mmm, No. 123
**Formation enthalpy at 0 K**: -0.106 eV/atom
**Offset from the most stable computed form**: 0.00 kcal/mol of atoms

5.
First-principles (PBE) data for an optimized crystal structure of Ge2Pd6Au, as listed in Alexandria.

abc: 5.2129 7.0786 8.0080
angles: 90.00 83.19 90.00
Last column: nearest neighbours and their distance in Å.
Fractional positions:
Ge: 0.9359 0.4151 0.7873  6 Pd 2.47-2.65, 1 Au 2.74
Ge: 0.5641 0.9151 0.7127  6 Pd 2.47-2.65, 1 Au 2.74
Ge: 0.4359 0.0849 0.2873  6 Pd 2.47-2.65, 1 Au 2.74
Ge: 0.0641 0.5849 0.2127  6 Pd 2.47-2.65, 1 Au 2.74
Pd: 0.8283 0.8959 0.2054  2 Ge 2.47-2.53, 1 Au 2.72, 1 Pd 2.75
Pd: 0.8248 0.6420 0.5425  3 Ge 2.65-2.81, 1 Au 2.70, 6 Pd 2.75-2.92
Pd: 0.8768 0.7627 0.8807  2 Ge 2.48-2.58, 1 Pd 2.75
Pd: 0.6232 0.2627 0.6193  2 Ge 2.48-2.58, 1 Pd 2.75
Pd: 0.6752 0.1420 0.9575  3 Ge 2.65-2.81, 1 Au 2.70, 6 Pd 2.75-2.92
Pd: 0.6717 0.3959 0.2946  2 Ge 2.47-2.53, 1 Au 2.72, 1 Pd 2.75
Pd: 0.1717 0.1041 0.7946  2 Ge 2.47-2.53, 1 Au 2.72, 1 Pd 2.75
Pd: 0.1752 0.3580 0.4575  3 Ge 2.65-2.81, 1 Au 2.70, 6 Pd 2.75-2.92
Pd: 0.1232 0.2373 0.1193  2 Ge 2.48-2.58, 1 Pd 2.75
Pd: 0.3768 0.7373 0.3807  2 Ge 2.48-2.58, 1 Pd 2.75
Pd: 0.3248 0.8580 0.0425  3 Ge 2.65-2.81, 1 Au 2.70, 6 Pd 2.75-2.92
Pd: 0.3283 0.6041 0.7054  2 Ge 2.47-2.53, 1 Au 2.72, 1 Pd 2.75
Au: 0.5000 0.5000 0.0000  6 Pd 2.70-2.79, 2 Ge 2.74
Au: 0.0000 0.0000 0.5000  6 Pd 2.70-2.79, 2 Ge 2.74

Properties
**SG**: P2_1/c, No. 14
**Formation enthalpy at 0 K**: -0.266 eV/atom

6.
First-principles (PBE) data for an optimized crystal structure of La5Ga2Pt, as listed in Alexandria.

abc: 4.8332 7.9048 12.6012
angles: 90.00 90.00 90.00
Last column: nearest neighbours and their distance in Å.
Fractional positions:
La: 0.0000 0.0000 0.5000  4 Ga 3.25, 4 La 3.60
La: 0.0000 0.5000 0.0000  4 Ga 3.25, 4 La 3.60
La: 0.0000 0.8514 0.2104  1 Pt 2.90
La: 0.0000 0.1486 0.7896  1 Pt 2.90
La: 0.0000 0.6486 0.7104  1 Pt 2.90
La: 0.0000 0.3514 0.2896  1 Pt 2.90
La: 0.5000 0.6857 0.4219  2 Pt 2.99, 2 Ga 3.25-3.35
La: 0.5000 0.3143 0.5781  2 Pt 2.99, 2 Ga 3.25-3.35
La: 0.5000 0.8143 0.9219  2 Pt 2.99, 2 Ga 3.25-3.35
La: 0.5000 0.1857 0.0781  2 Pt 2.99, 2 Ga 3.25-3.35
Ga: 0.5000 0.5724 0.1658  9 La 3.25-3.62
Ga: 0.5000 0.4276 0.8342  9 La 3.25-3.62
Ga: 0.5000 0.9276 0.6658  9 La 3.25-3.62
Ga: 0.5000 0.0724 0.3342  9 La 3.25-3.62
Pt: 0.0000 0.5000 0.5000  6 La 2.90-2.99
Pt: 0.0000 0.0000 0.0000  6 La 2.90-2.99

Properties
**SG**: Pbam, No. 55
**Formation enthalpy at 0 K**: -0.603 eV/atom

7.
First-principles (PBE) data for an optimized crystal structure of TiTlH, as listed in Alexandria.

abc: 5.9711 3.4399 9.8116
angles: 90.00 90.00 90.00
Last column: nearest neighbours and their distance in Å.
Fractional positions:
H: 0.9949 0.2500 0.9044  3 Ti 1.86-1.87
H: 0.5051 0.7500 0.4044  3 Ti 1.86-1.87
H: 0.0051 0.7500 0.0956  3 Ti 1.86-1.87
H: 0.4949 0.2500 0.5956  3 Ti 1.86-1.87
Tl: 0.8926 0.2500 0.3744  5 Ti 2.88-3.13, 3 H 2.90-3.22
Tl: 0.6074 0.7500 0.8744  5 Ti 2.88-3.13, 3 H 2.90-3.22
Tl: 0.1074 0.7500 0.6256  5 Ti 2.88-3.13, 3 H 2.90-3.22
Tl: 0.3926 0.2500 0.1256  5 Ti 2.88-3.13, 3 H 2.90-3.22
Ti: 0.3830 0.2500 0.4188  3 H 1.86-1.87
Ti: 0.1170 0.7500 0.9188  3 H 1.86-1.87
Ti: 0.6170 0.7500 0.5812  3 H 1.86-1.87
Ti: 0.8830 0.2500 0.0812  3 H 1.86-1.87

Properties
**SG**: Pnma, No. 62
**Offset from the most stable computed form**: 4.87 kcal/mol of atoms

8.
First-principles (PBE) data for an optimized crystal structure of Dy12Ho7Bi, as listed in Alexandria.

abc: 8.6921 8.6921 8.6921
angles: 88.83 88.83 88.83
Last column: nearest neighbours and their distance in Å.
Fractional positions:
Dy: 0.0090 0.3411 0.8871  1 Bi 3.11, 3 Ho 3.29-3.38, 2 Dy 3.42-3.45
Dy: 0.6589 0.1129 0.9910  1 Bi 3.11, 3 Ho 3.29-3.38, 2 Dy 3.42-3.45
Dy: 0.4674 0.1231 0.3422  6 Dy 3.45-3.78, 5 Ho 3.59-3.71
Dy: 0.8769 0.6578 0.5326  6 Dy 3.45-3.78, 5 Ho 3.59-3.71
Dy: 0.1129 0.9910 0.6589  1 Bi 3.11, 3 Ho 3.29-3.38, 2 Dy 3.42-3.45
Dy: 0.6578 0.5326 0.8769  6 Dy 3.45-3.78, 5 Ho 3.59-3.71
Dy: 0.3422 0.4674 0.1231  6 Dy 3.45-3.78, 5 Ho 3.59-3.71
Dy: 0.8871 0.0090 0.3411  1 Bi 3.11, 3 Ho 3.29-3.38, 2 Dy 3.42-3.45
Dy: 0.1231 0.3422 0.4674  6 Dy 3.45-3.78, 5 Ho 3.59-3.71
Dy: 0.5326 0.8769 0.6578  6 Dy 3.45-3.78, 5 Ho 3.59-3.71
Dy: 0.3411 0.8871 0.0090  1 Bi 3.11, 3 Ho 3.29-3.38, 2 Dy 3.42-3.45
Dy: 0.9910 0.6589 0.1129  1 Bi 3.11, 3 Ho 3.29-3.38, 2 Dy 3.42-3.45
Ho: 0.2210 0.6276 0.7597  7 Dy 3.29-3.64, 3 Ho 3.46-3.59
Ho: 0.3724 0.2403 0.7790  7 Dy 3.29-3.64, 3 Ho 3.46-3.59
Ho: 0.2403 0.7790 0.3724  7 Dy 3.29-3.64, 3 Ho 3.46-3.59
Ho: 0.5000 0.5000 0.5000  6 Ho 3.46, 6 Dy 3.60
Ho: 0.7597 0.2210 0.6276  7 Dy 3.29-3.64, 3 Ho 3.46-3.59
Ho: 0.6276 0.7597 0.2210  7 Dy 3.29-3.64, 3 Ho 3.46-3.59
Ho: 0.7790 0.3724 0.2403  7 Dy 3.29-3.64, 3 Ho 3.46-3.59
Bi: 0.0000 0.0000 0.0000  6 Dy 3.11

Properties
**SG**: R-3, No. 148
**Formation enthalpy at 0 K**: 0.153 eV/atom

9.
First-principles (PBE) data for an optimized crystal structure of MoPt2Se, as listed in Alexandria.

abc: 6.2569 6.2569 6.3461
angles: 60.46 60.46 90.00
Last column: nearest neighbours and their distance in Å.
Fractional positions:
Mo: 0.0000 0.0000 0.0000  4 Pt 2.45
Mo: 0.7500 0.2500 0.5000  4 Pt 2.45
Se: 0.5000 0.5000 0.0000  4 Pt 2.53
Se: 0.2500 0.7500 0.5000  4 Pt 2.53
Pt: 0.6349 0.1250 0.2500  2 Mo 2.45, 2 Se 2.53
Pt: 0.1151 0.6250 0.2500  2 Mo 2.45, 2 Se 2.53
Pt: 0.3750 0.3651 0.7500  2 Mo 2.45, 2 Se 2.53
Pt: 0.8750 0.8849 0.7500  2 Mo 2.45, 2 Se 2.53

Properties
**SG**: I-42d, No. 122
**Formation energy from raw total energies**: 0.43 eV per atom

10.
First-principles (PBE) data for an optimized crystal structure of Tl2SeO, as listed in Alexandria.

abc: 7.0402 6.9906 10.1962
angles: 104.62 90.00 90.00
Last column: nearest neighbours and their distance in Å.
Fractional positions:
Tl: 0.8143 0.9093 0.9054  2 O 2.15-2.35
Tl: 0.1857 0.0907 0.0946  2 O 2.15-2.35
Tl: 0.8143 0.5907 0.5946  2 O 2.15-2.35
Tl: 0.1857 0.4093 0.4054  2 O 2.15-2.35
Tl: 0.7699 0.4690 0.1661  2 O 2.53-2.60
Tl: 0.2301 0.5310 0.8339  2 O 2.53-2.60
Tl: 0.7699 0.0310 0.3339  2 O 2.53-2.60
Tl: 0.2301 0.9690 0.6661  2 O 2.53-2.60
Se: 0.2709 0.0195 0.3357  2 Tl 2.70
Se: 0.7291 0.9805 0.6643  2 Tl 2.70
Se: 0.2709 0.4805 0.1643  2 Tl 2.70
Se: 0.7291 0.5195 0.8357  2 Tl 2.70
O: 0.1482 0.6052 0.6032  2 Tl 2.15-2.35
O: 0.8518 0.3948 0.3968  2 Tl 2.15-2.35
O: 0.1482 0.8948 0.8968  2 Tl 2.15-2.35
O: 0.8518 0.1052 0.1032  2 Tl 2.15-2.35

Properties
**SG**: P2/c, No. 13
**Formation energy from raw total energies**: -0.42 eV per atom
**Offset from the most stable computed form**: 0.00 kcal/mol of atoms

11.
First-principles (PBE) data for an optimized crystal structure of Sc2FeCl, as listed in Alexandria.

abc: 4.7800 4.7820 3.0523
angles: 90.00 90.00 90.00
Last column: nearest neighbours and their distance in Å.
Fractional positions:
Cl: 0.5000 0.0000 0.5000  8 Sc 2.84, 2 Cl 3.05
Fe: 0.0000 0.5000 0.5000  8 Sc 2.84, 2 Fe 3.05
Sc: 0.0000 0.0000 0.0000  4 Cl 2.84, 4 Fe 2.84, 2 Sc 3.05
Sc: 0.5000 0.5000 0.0000  4 Fe 2.84, 4 Cl 2.84, 2 Sc 3.05

Properties
**SG**: P4/mmm, No. 123
**Formation energy from raw total energies**: -0.29 eV per atom
**Offset from the most stable computed form**: 9.63 kcal/mol of atoms

12.
First-principles (PBE) data for an optimized crystal structure of Ba6Bi2PSe, as listed in Alexandria.

abc: 8.1192 9.2006 11.9921
angles: 90.00 89.97 90.00
Last column: nearest neighbours and their distance in Å.
Fractional positions:
Ba: 0.3159 0.6847 0.0649  1 P 3.17, 1 Se 3.35
Ba: 0.8159 0.8153 0.5649  1 P 3.17, 1 Se 3.35
Ba: 0.6841 0.3153 0.9351  1 P 3.17, 1 Se 3.35
Ba: 0.1841 0.1847 0.4351  1 P 3.17, 1 Se 3.35
Ba: 0.3252 0.6978 0.4372  1 P 3.21, 1 Se 3.29
Ba: 0.8252 0.8022 0.9372  1 P 3.21, 1 Se 3.29
Ba: 0.6748 0.3022 0.5628  1 P 3.21, 1 Se 3.29
Ba: 0.1748 0.1978 0.0628  1 P 3.21, 1 Se 3.29
Ba: 0.8723 0.5458 0.2451  1 P 3.14, 1 Se 3.26
Ba: 0.3723 0.9542 0.7451  1 P 3.14, 1 Se 3.26
Ba: 0.1277 0.4542 0.7549  1 P 3.14, 1 Se 3.26
Ba: 0.6277 0.0458 0.2549  1 P 3.14, 1 Se 3.26
Bi: 0.0430 0.9050 0.2476  6 Ba 3.58-3.75
Bi: 0.5430 0.5950 0.7476  6 Ba 3.58-3.75
Bi: 0.9570 0.0950 0.7524  6 Ba 3.58-3.75
Bi: 0.4570 0.4050 0.2524  6 Ba 3.58-3.75
P: 0.5000 0.0000 0.5000  6 Ba 3.14-3.21
P: 0.0000 0.5000 0.0000  6 Ba 3.14-3.21
Se: 0.5000 0.0000 0.0000  6 Ba 3.26-3.35
Se: 0.0000 0.5000 0.5000  6 Ba 3.26-3.35

Properties
**SG**: P2_1/c, No. 14
**Formation energy from raw total energies**: -1.11 eV per atom